Compound: KHf4Cu3O12
Source: Alexandria via LeMat-Bulk
Functional: PBE
Structure: optimized geometry

```
KHf4Cu3O12
1.0
6.737 0.000 0.000
-2.246 6.352 0.000
-2.246 -3.176 5.501
O Cu Hf K
12 3 4 1
Cartesian
0.055 1.716 4.555 O
1.599 3.633 2.817 O
2.892 1.081 3.763 O
0.646 -0.457 2.684 O
4.546 -0.089 1.738 O
3.845 3.799 0.946 O
-0.646 2.095 1.738 O
-2.300 3.265 3.763 O
-1.599 -0.623 4.555 O
-0.055 4.803 0.792 O
2.191 1.460 0.946 O
2.300 -1.627 4.709 O
2.246 3.176 0.000 Cu
2.246 -1.588 2.751 Cu
-2.246 1.588 2.751 Cu
3.369 0.000 0.000 Hf
-1.123 -1.588 2.751 Hf
1.123 1.588 2.751 Hf
-1.123 3.176 0.000 Hf
0.000 0.000 0.000 K
```

Values from the calculation:
The density comes out at 8.01 g cm⁻³. The uncorrected formation energy comes out at -2.373 eV per atom. As for the total energy: -8.01 eV/atom.